Entry from Alexandria: crystalline PrNd4Y3 at its relaxed geometry (GGA-PBE).

Values from the calculation:
Calculated density (g cm⁻³): 5.87
Formation enthalpy at 0 K (eV per atom): 0.17
Fermi-level density of states (states/eV per atom): 1.779
E above lowest polymorph (meV/atom): 142
Total magnetization (μB/f.u.): 0.0

a = 23.9919 Å, b = 3.4965 Å, c = 6.9104 Å
α = 90.00°, β = 106.23°, γ = 90.00°
Space group C2/m (No. 12)
Asymmetric unit:
Pr 0.0000 0.0000 0.0000 (multiplicity 2)
Nd 0.1246 0.5000 0.3707 (multiplicity 4)
Nd 0.2407 0.0000 0.2379 (multiplicity 4)
Y 0.0000 0.5000 0.5000 (multiplicity 2)
Y 0.1246 0.5000 0.8810 (multiplicity 4)